Computed, not measured: a relaxed structure of La6Sn2TeSe3 at the PBE level of DFT.

Values from the calculation:
space-group type = No. 12
crystal system = monoclinic
raw total energy = -5.79 eV per atom
calculated volume = 382.4 Å³ per cell
ΔE_f (raw) = -1.522 eV per atom

a b c (Å): 9.999 9.999 8.939
angles (deg): 102.29 102.29 26.01
Atoms (fractional coordinates):
La  0.001  0.001  0.237
La  0.329  0.329  0.419
La  0.335  0.335  0.913
La  0.665  0.665  0.087
La  0.671  0.671  0.581
La  0.999  0.999  0.763
Sn  0.166  0.166  0.831
Sn  0.834  0.834  0.169
Te  0.500  0.500  0.500
Se  0.165  0.165  0.334
Se  0.500  0.500  0.000
Se  0.835  0.835  0.666